No. 1
A plane-wave DFT calculation with PBEsol was carried out for a relaxed structure of Ba2CrCdCu.

a = 5.0625 Å, b = 5.9366 Å, c = 5.9366 Å
α = 90.00°, β = 90.00°, γ = 90.00°
Last column: nearest neighbours and their distance in Å.
Element x y z (fractional)
Cr 0.0000 0.0000 0.0000  2 Cd 2.53
Ba 0.0000 0.0000 0.5000  2 Cr 2.97
Ba 0.0000 0.5000 0.0000  2 Cr 2.97
Cu 0.5000 0.5000 0.5000  8 Ba 3.90, 4 Cd 4.20
Cd 0.5000 0.0000 0.0000  2 Cr 2.53

## Properties
Energy relative to the elements ... 0.756 eV/atom
Crystal system ... tetragonal
Space group ... P4/mmm



No. 2
A plane-wave DFT calculation with PBEsol was carried out for a relaxed structure of Li4NbCrW2O12.

a = 5.0783 Å, b = 5.3812 Å, c = 7.3996 Å
α = 94.38°, β = 90.00°, γ = 90.26°
Last column: nearest neighbours and their distance in Å.
Element x y z (fractional)
Li 0.0029 0.4058 0.2743  4 O 1.96-2.16
Li 0.4956 0.9455 0.7983  3 O 1.97-2.05
Li 0.9970 0.4093 0.8071  5 O 2.00-2.22
Li 0.5024 0.0599 0.2045  3 O 1.96-2.03
Nb 0.5052 0.4828 0.5140  6 O 1.90-2.12
Cr 0.0014 0.9997 0.9981  6 O 1.94-1.99
W 0.9970 0.9758 0.4969  5 O 1.84-2.02
W 0.5068 0.5101 0.0108  6 O 1.88-2.02
O 0.3063 0.1876 0.4323  1 Nb 1.94, 1 W 2.02, 1 Li 2.03
O 0.1117 0.0074 0.7405  1 W 1.89, 1 Cr 1.99, 1 Li 2.03
O 0.3108 0.8076 0.0492  1 W 1.89, 1 Cr 1.94, 1 Li 1.96
O 0.1766 0.6874 0.4323  1 W 1.84, 1 Li 2.04
O 0.7988 0.6968 0.9373  1 W 1.89, 1 Cr 1.95, 1 Li 2.03
O 0.3697 0.5044 0.7539  1 Nb 1.90, 1 Li 2.00, 1 W 2.02
O 0.6254 0.5025 0.2505  1 W 1.88, 1 Li 2.00, 1 Nb 2.05
O 0.2044 0.3059 0.0543  1 W 1.93, 1 Cr 1.96, 1 Li 1.96
O 0.8255 0.3177 0.5590  1 Nb 1.90, 1 Li 2.06, 1 W 2.06
O 0.6963 0.2059 0.9425  1 W 1.94, 1 Cr 1.97, 2 Li 1.97-2.16
O 0.8860 0.0175 0.2539  1 W 1.91, 1 Cr 1.98, 1 Li 2.00
O 0.6800 0.8280 0.5615  1 W 1.87, 1 Li 2.05, 1 Nb 2.06

## Properties
Uncorrected formation energy ... -2235 meV/atom
Crystal system ... triclinic
Space group ... P1



No. 3
A plane-wave DFT calculation with PBEsol was carried out for a relaxed structure of CaTe2Se.

a = 4.0004 Å, b = 4.1834 Å, c = 7.5435 Å
α = 106.10°, β = 105.38°, γ = 90.00°
Last column: nearest neighbours and their distance in Å.
Element x y z (fractional)
Ca 0.5000 0.0000 0.0000  4 Se 2.89
Te 0.2199 0.2199 0.4398  4 Te 3.01
Te 0.7801 0.7801 0.5602  4 Te 3.01
Se 0.0000 0.5000 0.0000  4 Ca 2.89

## Properties
Uncorrected formation energy ... -766 meV/atom
Crystal system ... orthorhombic
Space group ... Immm



No. 4
A plane-wave DFT calculation with PBEsol was carried out for a relaxed structure of Mg2BiH2.

a = 3.5178 Å, b = 3.5178 Å, c = 6.6154 Å
α = 105.42°, β = 105.42°, γ = 90.00°
Last column: nearest neighbours and their distance in Å.
Element x y z (fractional)
H 0.2500 0.7500 0.5000  4 Mg 2.05
H 0.7500 0.2500 0.5000  4 Mg 2.05
Mg 0.3359 0.3359 0.6718  4 H 2.05
Mg 0.6641 0.6641 0.3282  4 H 2.05
Bi 0.0000 0.0000 0.0000  8 Mg 3.20, 4 Bi 3.52, 8 H 3.53

## Properties
Crystal system ... tetragonal
E_tot ... -3.03 eV per atom
Space group ... I4/mmm



No. 5
A plane-wave DFT calculation with PBEsol was carried out for a relaxed structure of TlInS2N.

a = 4.2249 Å, b = 5.1200 Å, c = 5.1200 Å
α = 90.00°, β = 90.00°, γ = 90.00°
Last column: nearest neighbours and their distance in Å.
Element x y z (fractional)
Tl 0.5000 0.5000 0.5000  8 S 3.32, 4 N 3.62
N 0.5000 0.0000 0.0000  2 In 2.11
S 0.0000 0.0000 0.5000  2 In 2.56
S 0.0000 0.5000 0.0000  2 In 2.56
In 0.0000 0.0000 0.0000  2 N 2.11

## Properties
Uncorrected formation energy ... 637 meV/atom
Crystal system ... tetragonal
Space group ... P4/mmm



No. 6
A plane-wave DFT calculation with PBEsol was carried out for a relaxed structure of CaIn2Tc.

a = 4.3906 Å, b = 4.3974 Å, c = 5.1599 Å
α = 115.22°, β = 115.18°, γ = 90.00°
Last column: nearest neighbours and their distance in Å.
Element x y z (fractional)
Ca 0.0000 0.5000 0.0000  8 In 3.01, 4 Tc 3.11
In 0.7502 0.7502 0.5004  4 Tc 3.01, 4 Ca 3.01, 4 In 3.11
In 0.2498 0.2498 0.4996  4 Tc 3.01, 4 Ca 3.01, 4 In 3.11
Tc 0.5000 0.0000 0.0000  8 In 3.01, 4 Ca 3.11

## Properties
Energy relative to the elements ... 0.075 eV/atom
Crystal system ... tetragonal
Space group ... I4/mmm